[1]
VASP calculation (PBE) on NaHoPbSe3 after structural relaxation.

Cell and atoms, written as POSCAR:
```
NaHoPbSe3
1.0
8.9804 -2.0760 0.0000
8.9804 2.0760 0.0000
-2.8503 0.0000 9.5240
Na Ho Pb Se
2 2 2 6
Direct
0.1383 0.1383 0.0821 Na
0.8617 0.8617 0.9179 Na
0.1767 0.1767 0.5884 Ho
0.8233 0.8233 0.4116 Ho
0.4863 0.4863 0.2757 Pb
0.5137 0.5137 0.7243 Pb
0.0000 0.0000 0.5000 Se
0.3156 0.3156 0.2098 Se
0.3353 0.3353 0.6206 Se
0.5000 0.5000 0.0000 Se
0.6647 0.6647 0.3794 Se
0.6844 0.6844 0.7902 Se
```

[2]
VASP calculation (PBE) on HoEr2TmMg2 after structural relaxation.

Cell and atoms, written as POSCAR:
```
HoEr2TmMg2
1.0
5.4152 0.0000 0.0000
0.0000 1.8112 8.5377
0.0000 -1.8112 8.5377
Ho Er Tm Mg
1 2 1 2
Direct
0.0000 0.0000 0.0000 Ho
0.0000 0.6799 0.6799 Er
0.5000 0.1328 0.1328 Er
0.5000 0.8124 0.8124 Tm
0.0000 0.3410 0.3410 Mg
0.5000 0.4713 0.4713 Mg
```

[3]
VASP calculation (PBE) on Nd2Tm2CI5 after structural relaxation.

Cell and atoms, written as POSCAR:
```
Nd2Tm2CI5
1.0
9.9280 -2.0109 0.0000
9.9280 2.0109 0.0000
-1.8753 0.0000 8.6211
Nd Tm C I
2 2 1 5
Direct
0.0006 0.0006 0.3043 Nd
0.9994 0.9994 0.6957 Nd
0.3783 0.3783 0.4399 Tm
0.6217 0.6217 0.5601 Tm
0.5000 0.5000 0.5000 C
0.1638 0.1638 0.8215 I
0.1663 0.1663 0.3401 I
0.5000 0.5000 0.0000 I
0.8337 0.8337 0.6599 I
0.8362 0.8362 0.1785 I
```

[4]
VASP calculation (PBE) on Lu4Nb2In3N3 after structural relaxation.

Cell and atoms, written as POSCAR:
```
Lu4Nb2In3N3
1.0
5.0208 -2.9171 0.0000
5.0208 2.9171 0.0000
-3.3179 0.0000 14.7009
Lu Nb In N
8 4 6 6
Direct
0.0318 0.1941 0.0872 Lu
0.1349 0.3045 0.4127 Lu
0.1941 0.0318 0.5872 Lu
0.3045 0.1349 0.9127 Lu
0.6955 0.8651 0.0873 Lu
0.8059 0.9682 0.4128 Lu
0.8651 0.6955 0.5873 Lu
0.9682 0.8059 0.9128 Lu
0.3604 0.5242 0.0726 Nb
0.4758 0.6396 0.4274 Nb
0.5242 0.3604 0.5726 Nb
0.6396 0.4758 0.9274 Nb
0.1144 0.8856 0.2500 In
0.2825 0.4166 0.7505 In
0.4166 0.2825 0.2505 In
0.5834 0.7175 0.7495 In
0.7175 0.5834 0.2495 In
0.8856 0.1144 0.7500 In
0.0000 0.5000 0.0000 N
0.1634 0.6688 0.5000 N
0.3312 0.8366 0.0000 N
0.5000 0.0000 0.5000 N
0.6688 0.1634 0.0000 N
0.8366 0.3312 0.5000 N
```

[5]
VASP calculation (PBE) on Na2Mg2AlInAu2 after structural relaxation.

Cell and atoms, written as POSCAR:
```
Na2Mg2AlInAu2
1.0
4.7538 0.0000 0.0000
0.0000 4.7538 0.0000
0.0000 0.0000 6.7952
Na Mg Al In Au
2 2 1 1 2
Direct
0.0000 0.5000 0.2435 Na
0.5000 0.0000 0.7565 Na
0.0000 0.0000 0.0000 Mg
0.5000 0.5000 0.5000 Mg
0.5000 0.5000 0.0000 Al
0.0000 0.0000 0.5000 In
0.0000 0.5000 0.7714 Au
0.5000 0.0000 0.2286 Au
```

[6]
VASP calculation (PBE) on MgTaGaNi after structural relaxation.

Cell and atoms, written as POSCAR:
```
MgTaGaNi
1.0
0.0000 3.1279 3.1279
3.1279 0.0000 3.1279
3.1279 3.1279 0.0000
Mg Ta Ga Ni
1 1 1 1
Direct
0.0000 0.0000 0.0000 Mg
0.7500 0.7500 0.7500 Ta
0.2500 0.2500 0.2500 Ga
0.5000 0.5000 0.5000 Ni
```

Number 1: raw total energy -0.333 Ry per atom. Number 2: raw total energy -0.264 Ry per atom. Number 3: raw total energy -0.341 Ry per atom. Number 4: raw total energy -0.509 Ry per atom. Number 5: raw total energy -0.191 Ry per atom. Number 6: raw total energy -0.390 Ry per atom.